Below is an optimized crystal structure of CoCl, with properties calculated at the PBE level.

Output
symmetry = Cm
ΔE_f (raw) = -21 meV/atom
E = -4.50 eV per atom

```
6
Lattice="-0.748 1.974 5.305 -0.489 -1.154 5.570 5.676 0.941 5.575" Properties=species:S:1:pos:R:3 pbc="T T T"
Cl 0.356 0.361 3.912
Co 2.792 0.557 3.855
Cl 2.084 0.786 7.244
Cl 4.434 1.397 12.152
Co 2.486 1.136 10.971
Co 3.798 1.655 15.816
```



Below is an optimized crystal structure of CoHIN2, with properties calculated at the PBE level.

Output
E above lowest polymorph = 1149 meV per atom
symmetry = P4/mmm
E = -3.37 eV per atom

```
5
Lattice="3.825 0.000 0.000 0.000 3.825 0.000 0.000 0.000 3.650" Properties=species:S:1:pos:R:3 pbc="T T T"
N 0.000 1.912 0.000
H 0.000 0.000 0.000
Co 1.912 1.912 1.825
N 1.912 0.000 0.000
I 0.000 0.000 1.825
```



Below is an optimized crystal structure of RbScSn, with properties calculated at the PBE level.

Output
E above lowest polymorph = 238 meV per atom
DFT formation energy = -0.1107 eV per atom
symmetry = C2/m
E = -3.88 eV per atom

```
6
Lattice="8.432 0.000 -0.136 2.743 3.480 -3.836 -2.743 3.480 3.836" Properties=species:S:1:pos:R:3 pbc="T T T"
Sc 2.452 3.480 1.746
Rb -1.608 3.480 2.368
Sn 4.216 5.072 -0.068
Rb 10.039 3.480 -2.504
Sc 5.980 3.480 -1.882
Sn 4.216 1.888 -0.068
```



Below is an optimized crystal structure of LiNiIr2, with properties calculated at the PBE level.

Output
E above lowest polymorph = 128 meV per atom
DFT formation energy = 0.0519 eV per atom
symmetry = I4/mmm
E = -6.30 eV per atom

```
4
Lattice="-0.015 4.372 -1.132 -2.438 2.240 3.072 3.410 -2.922 0.483" Properties=species:S:1:pos:R:3 pbc="T T T"
Ir 0.000 0.000 0.000
Ir -1.227 3.306 0.970
Li -0.127 1.312 2.263
Ni 1.084 2.378 0.160
```



What is the E in the second record? -3.37 eV per atom



Which of these has the highest E? CoHIN2



The highest E belongs to which entry? CoHIN2